Entry 1:
The following is a PBE calculation of a relaxed Th2N2O crystal, from the Alexandria database.

The structure belongs to space group P-3m1 (No. 164); the cell edges are 3.9533, 3.9533 and 5.9891 Å and the angles 90.00°, 90.00° and 120.00°. The distinct sites, in fractional coordinates, are Th at (0.3333, 0.6667, 0.2531), N at (0.3333, 0.6667, 0.6512) and O at (0.0000, 0.0000, 0.0000).

Its density of states at the Fermi level is 0.000 states/eV per atom. As for the raw formation energy: -2.28 eV per atom. The calculation puts the magnetic moment at 0.000 μB per atom. The theoretical density comes out at 10.41 g cm⁻³.

Entry 2:
The following is a PBE calculation of a relaxed SrMgTa2 crystal, from the Alexandria database.

The structure belongs to space group P4mm (No. 99); the cell edges are 3.549, 3.549 and 8.064 Å and the angles 90.00°, 90.00° and 90.00°. The distinct sites, in fractional coordinates, are Sr at (0.000, 0.000, 0.000), Mg at (0.500, 0.500, 0.665), Ta at (0.000, 0.000, 0.441) and Ta at (0.500, 0.500, 0.302).

Its density of states at the Fermi level is 1.034 states/eV per atom. The calculation puts the magnetic moment at 0.000 μB per atom. The value obtained for the formation energy is 9.333 kcal/mol of atoms. The theoretical density comes out at 7.75 g cm⁻³.

Entry 3:
The following is a PBE calculation of a relaxed HoErSc2Tl4 crystal, from the Alexandria database.

The structure belongs to space group R-3m (No. 166, hexagonal axes); the cell edges are 5.2225, 5.2225 and 25.6172 Å and the angles 90.00°, 90.00° and 120.00°. The distinct sites, in fractional coordinates, are Ho at (0.0000, 0.0000, 0.0000), Er at (0.0000, 0.0000, 0.5000), Sc at (0.0000, 0.0000, 0.2499), Tl at (0.0000, 0.0000, 0.1252) and Tl at (0.0000, 0.0000, 0.3752).

Its density of states at the Fermi level is 0.886 states/eV per atom. The calculation puts the magnetic moment at 0.000 μB per atom. The value obtained for the formation energy is -6.451 kcal/mol of atoms. The theoretical density comes out at 10.21 g cm⁻³.

Entry 4:
The following is a PBE calculation of a relaxed Cs2In2Bi crystal, from the Alexandria database.

The structure belongs to space group C2/c (No. 15); the cell edges are 13.330, 8.403 and 8.653 Å and the angles 90.00°, 109.89° and 90.00°. The distinct sites, in fractional coordinates, are Cs at (0.178, 0.060, 0.151), In at (0.075, 0.367, 0.435) and Bi at (0.000, 0.309, 0.750).

The polymorph energy (0 for the lowest one) comes out at 0.000 eV/atom. Its density of states at the Fermi level is 0.656 states/eV per atom. The calculation puts the magnetic moment at 0.000 μB per atom. The value obtained for the formation energy is -4.719 kcal/mol of atoms. The theoretical density comes out at 5.13 g cm⁻³.